Below is LaSm11 after structural relaxation, with properties calculated at the PBE level.

For the density of states at the Fermi level, the calculation gives 1.234 states/eV/atom. The value obtained for the magnetization is 0.00 μB per formula unit. Its calculated formation energy is 0.04 eV/atom.

a = 3.5681 Å, b = 11.5241 Å, c = 11.5241 Å
α = 120.00°, β = 90.00°, γ = 90.00°
Element x y z (fractional)
Sm  0.0000  0.5000  0.0000
Sm  0.0000  0.5000  0.5000
Sm  0.5000  0.6481  0.8240
Sm  0.5000  0.1760  0.3519
La  0.0000  0.0000  0.0000
Sm  0.5000  0.8240  0.1760
Sm  0.0000  0.6667  0.3333
Sm  0.5000  0.8240  0.6481
Sm  0.5000  0.3519  0.1760
Sm  0.0000  0.0000  0.5000
Sm  0.5000  0.1760  0.8240
Sm  0.0000  0.3333  0.6667